(1)
Density functional theory data (GGA-PBEsol) for K2SiTc after structural relaxation.

Lattice parameters (Å, degrees): 4.046 5.715 6.268 117.12 108.83 90.00
Fractional positions:
K1 0.218 0.718 0.435
K2 0.024 0.024 0.048
Tc1 0.832 0.332 0.663
Si1 0.427 0.427 0.854

Computed properties:
Uncorrected formation energy (eV per atom): 0.732

---

(2)
Density functional theory data (GGA-PBEsol) for ZrNb2W after structural relaxation.

Lattice parameters (Å, degrees): 4.650 4.650 4.650 60.00 60.00 60.00
Fractional positions:
Nb1 0.250 0.250 0.250
Nb2 0.750 0.750 0.750
Zr1 0.000 0.000 0.000
W1 0.500 0.500 0.500

Computed properties:
Energy relative to the elements (eV per atom): 0.063

---

(3)
Density functional theory data (GGA-PBEsol) for Sc16O15 after structural relaxation.

Lattice parameters (Å, degrees): 6.254 6.254 10.840 73.24 73.24 60.00
Fractional positions:
Sc1 0.875 0.875 0.374
Sc2 0.873 0.873 0.873
Sc3 0.624 0.125 0.626
Sc4 0.125 0.125 0.626
Sc5 0.875 0.376 0.374
Sc6 0.619 0.127 0.127
Sc7 0.381 0.873 0.873
Sc8 0.376 0.376 0.374
Sc9 0.127 0.127 0.127
Sc10 0.624 0.624 0.626
Sc11 0.125 0.624 0.626
Sc12 0.127 0.619 0.127
Sc13 0.376 0.875 0.374
Sc14 0.375 0.375 0.875
Sc15 0.873 0.381 0.873
Sc16 0.625 0.625 0.125
O1 0.000 0.500 0.000
O2 0.749 0.251 0.749
O3 0.251 0.251 0.749
O4 0.000 0.500 0.500
O5 0.251 0.749 0.251
O6 0.000 0.000 0.500
O7 0.249 0.249 0.252
O8 0.749 0.749 0.251
O9 0.751 0.751 0.748
O10 0.500 0.500 0.500
O11 0.500 0.500 0.000
O12 0.251 0.749 0.749
O13 0.749 0.251 0.251
O14 0.500 0.000 0.000
O15 0.500 0.000 0.500

Computed properties:
Uncorrected formation energy (eV per atom): -2.929

---

(4)
Density functional theory data (GGA-PBEsol) for BaCr2SnHg after structural relaxation.

Lattice parameters (Å, degrees): 5.239 5.239 5.474 90.00 90.00 90.00
Fractional positions:
Hg1 0.000 0.000 0.000
Sn1 0.000 0.000 0.500
Cr1 0.000 0.500 0.000
Cr2 0.500 0.000 0.000
Ba1 0.500 0.500 0.500

Computed properties:
Energy relative to the elements (eV per atom): 0.765

---

(5)
Density functional theory data (GGA-PBEsol) for CaMnSi2 after structural relaxation.

Lattice parameters (Å, degrees): 3.382 3.618 6.115 90.00 106.01 90.00
Fractional positions:
Mn1 0.265 0.500 0.905
Si1 0.784 0.000 0.941
Si2 0.913 0.500 0.201
Ca1 0.539 0.000 0.453

Computed properties:
Uncorrected formation energy (eV per atom): -0.133

---

(6)
Density functional theory data (GGA-PBEsol) for LaMn2Se after structural relaxation.

Lattice parameters (Å, degrees): 3.999 4.972 4.972 69.18 66.29 66.29
Fractional positions:
Mn1 0.750 0.750 0.750
Mn2 0.068 0.932 0.932
Se1 0.438 0.562 0.562
La1 0.244 0.256 0.256

Computed properties:
Uncorrected formation energy (eV per atom): 0.017

---

(7)
Density functional theory data (GGA-PBEsol) for MnInGaFe2 after structural relaxation.

Lattice parameters (Å, degrees): 4.209 4.209 4.861 90.00 90.00 90.00
Fractional positions:
In1 0.000 0.000 0.500
Mn1 0.000 0.000 0.000
Fe1 0.500 0.000 0.000
Fe2 0.000 0.500 0.000
Ga1 0.500 0.500 0.500

Computed properties:
Energy relative to the elements (eV per atom): 1.062

---

(8)
Density functional theory data (GGA-PBEsol) for CsMg3 after structural relaxation.

Lattice parameters (Å, degrees): 3.464 5.124 8.005 90.00 90.00 90.00
Fractional positions:
Cs1 0.500 0.000 0.136
Mg1 0.000 0.000 0.659
Mg2 0.500 0.500 0.761
Mg3 0.000 0.500 0.444

Computed properties:
Energy relative to the elements (eV per atom): 0.231

---

(9)
Density functional theory data (GGA-PBEsol) for Rb2Hg3Ge2S8 after structural relaxation.

Lattice parameters (Å, degrees): 6.405 9.917 13.168 96.43 90.00 90.00
Fractional positions:
Hg1 0.211 0.496 0.113
Hg2 0.711 0.504 0.387
Hg3 0.289 0.496 0.613
Hg4 0.500 0.000 0.500
Hg5 0.789 0.504 0.887
Hg6 0.000 0.000 0.000
S1 0.319 0.731 0.576
S2 0.652 0.734 0.916
S3 0.819 0.269 0.924
S4 0.181 0.541 0.822
S5 0.848 0.734 0.416
S6 0.348 0.266 0.084
S7 0.819 0.459 0.178
S8 0.700 0.087 0.642
S9 0.200 0.913 0.858
S10 0.152 0.266 0.584
S11 0.300 0.913 0.358
S12 0.681 0.269 0.424
S13 0.681 0.459 0.678
S14 0.319 0.541 0.322
S15 0.800 0.087 0.142
S16 0.181 0.731 0.076
Rb1 0.654 0.772 0.181
Rb2 0.154 0.228 0.319
Rb3 0.346 0.228 0.819
Rb4 0.846 0.772 0.681
Ge1 0.695 0.282 0.083
Ge2 0.805 0.282 0.583
Ge3 0.305 0.718 0.917
Ge4 0.195 0.718 0.417

Computed properties:
Uncorrected formation energy (eV per atom): -0.546

---

(10)
Density functional theory data (GGA-PBEsol) for Nb6SiSn after structural relaxation.

Lattice parameters (Å, degrees): 5.178 5.178 5.178 90.00 90.00 90.00
Fractional positions:
Sn1 0.500 0.500 0.500
Si1 0.000 0.000 0.000
Nb1 0.242 0.000 0.500
Nb2 0.758 0.000 0.500
Nb3 0.000 0.500 0.758
Nb4 0.500 0.758 0.000
Nb5 0.500 0.242 0.000
Nb6 0.000 0.500 0.242

Computed properties:
Uncorrected formation energy (eV per atom): -0.284

---

(11)
Density functional theory data (GGA-PBEsol) for TeOsRu2 after structural relaxation.

Lattice parameters (Å, degrees): 2.829 2.829 9.204 90.00 90.00 119.53
Fractional positions:
Te1 0.500 0.500 0.500
Ru1 0.000 0.000 0.234
Ru2 0.000 0.000 0.766
Os1 0.500 0.500 0.000

Computed properties:
Uncorrected formation energy (eV per atom): 0.929

---

(12)
Density functional theory data (GGA-PBEsol) for HgMo2Os after structural relaxation.

Lattice parameters (Å, degrees): 2.841 4.870 4.915 100.77 106.80 90.00
Fractional positions:
Hg1 0.752 0.247 0.504
Mo1 0.992 0.979 0.983
Mo2 0.245 0.740 0.489
Os1 0.512 0.534 0.024

Computed properties:
Energy relative to the elements (eV per atom): 0.421